[1]
## Tm4GaNi2 (PBE-GGA)

Data for a relaxed Tm4GaNi2 crystal.

a = 8.250 Å, b = 8.247 Å, c = 6.644 Å
α = 107.71°, β = 107.83°, γ = 120.42°
Sites, in units of the cell vectors:
Tm  0.024  0.254  0.417
Tm  0.504  0.775  0.914
Tm  0.344  0.022  0.229
Tm  0.877  0.563  0.599
Tm  0.811  0.628  0.099
Tm  0.272  0.092  0.728
Tm  0.411  0.511  0.266
Tm  0.765  0.164  0.770
Ga  0.936  0.951  0.902
Ga  0.197  0.682  0.398
Ni  0.661  0.233  0.124
Ni  0.481  0.409  0.623
Ni  0.150  0.568  0.964
Ni  0.817  0.899  0.466


[2]
## DyHo5Sc4 (PBE-GGA)

Data for a relaxed DyHo5Sc4 crystal.

a = 3.435 Å, b = 9.859 Å, c = 8.811 Å
α = 84.00°, β = 101.24°, γ = 90.00°
Sites, in units of the cell vectors:
Dy  0.500  0.000  0.000
Ho  0.141  0.768  0.281
Ho  0.810  0.597  0.620
Ho  0.500  0.500  0.000
Ho  0.859  0.232  0.719
Ho  0.190  0.403  0.380
Sc  0.950  0.765  0.900
Sc  0.315  0.913  0.631
Sc  0.685  0.087  0.369
Sc  0.050  0.235  0.100


Results for formation energy from the elements: -0.4042; 0.1554 (in eV per atom, following the order of the records).
Results for E: -5.044; -5.126 (in eV per atom, following the order of the records).